The following is a DFT calculation (PBE-GGA) of a geometry-optimized SrMg2Ni2 structure.

## Properties
- size of the total moment (μB/f.u.) = 0.0
- E_form (eV per atom) = 0.06
- Fermi-level density of states (states/eV per cell) = 6.3
- energy relative to the lowest polymorph listed for this composition (eV/atom) = 0.1435
- volume (Å³/atom) = 18.7

```
data_SrMg2Ni2
_chemical_formula_sum 'Sr2 Mg4 Ni4'
_symmetry_space_group_name_H-M 'P 4/m b m'
_symmetry_Int_Tables_number 127
_symmetry_space_group_name_Hall '-P 4 2ab'
_cell_length_a 7.923
_cell_length_b 7.923
_cell_length_c 2.986
_cell_angle_alpha 90.00
_cell_angle_beta 90.00
_cell_angle_gamma 90.00
loop_
_atom_site_label
_atom_site_fract_x
_atom_site_fract_y
_atom_site_fract_z
Sr1 0.000 0.000 0.000
Mg1 0.125 0.375 0.000
Ni1 0.168 0.668 0.500
```